Record 1
First-principles (PBE) data for a relaxed LaPr3Sm2Y6 crystal, as listed in the Alexandria database.

The calculation puts the total magnetization at 0.000 μB per atom. As for the energy of formation: 0.1 eV per formula unit.

The structure belongs to space group C2/m (No. 12); the cell edges are 6.309, 10.926 and 11.924 Å and the angles 90.00°, 100.13° and 90.00°. The inequivalent atoms are La at (0.000, 0.000, 0.000), Pr at (0.000, 0.167, 0.500), Pr at (0.000, 0.500, 0.500), Sm at (0.000, 0.333, 0.000), Y at (0.249, 0.500, 0.249) and Y at (0.250, 0.167, 0.249).

=====

Record 2
First-principles (PBE) data for a relaxed La2PrSmY crystal, as listed in the Alexandria database.

The calculation puts the total magnetization at 0.000 μB per atom. As for the energy of formation: 0.2 eV per formula unit.

The structure belongs to space group P2_1/m (No. 11); the cell edges are 6.461, 5.931 and 9.854 Å and the angles 90.00°, 108.98° and 90.00°. The inequivalent atoms are La at (0.038, 0.250, 0.400), La at (0.233, 0.250, 0.802), Pr at (0.364, 0.750, 0.398), Sm at (0.432, 0.250, 0.195) and Y at (0.165, 0.750, 0.000).

=====

Record 3
First-principles (PBE) data for a relaxed La2Pr2SmY2 crystal, as listed in the Alexandria database.

The calculation puts the total magnetization at 0.000 μB per atom. As for the energy of formation: 0.1 eV per formula unit.

The structure belongs to space group C2/m (No. 12); the cell edges are 11.621, 5.203 and 8.201 Å and the angles 90.00°, 98.19° and 90.00°. The inequivalent atoms are La at (0.143, 0.000, 0.428), Pr at (0.071, 0.500, 0.719), Sm at (0.000, 0.000, 0.000) and Y at (0.215, 0.500, 0.139).

=====

Record 4
First-principles (PBE) data for a relaxed La5Pr2SmY crystal, as listed in the Alexandria database.

The calculation puts the total magnetization at 0.000 μB per atom. As for the energy of formation: 2.3 eV per formula unit.

The structure belongs to space group I4/mcm (No. 140); the cell edges are 8.959, 8.959 and 16.330 Å and the angles 90.00°, 90.00° and 90.00°. The inequivalent atoms are La at (0.000, 0.000, 0.000), La at (0.215, 0.285, 0.142), Pr at (0.118, 0.382, 0.500), Sm at (0.000, 0.000, 0.250) and Y at (0.000, 0.500, 0.250).

=====

Record 5
First-principles (PBE) data for a relaxed LaPrSmY3 crystal, as listed in the Alexandria database.

The calculation puts the total magnetization at 0.000 μB per atom. As for the energy of formation: 0.6 eV per formula unit.

The structure belongs to space group Cmcm (No. 63); the cell edges are 5.980, 11.456 and 11.969 Å and the angles 90.00°, 90.00° and 90.00°. The inequivalent atoms are La at (0.000, 0.005, 0.250), Pr at (0.000, 0.500, 0.000), Sm at (0.000, 0.326, 0.250), Y at (0.000, 0.173, 0.503) and Y at (0.000, 0.330, 0.750).

=====

Record 6
First-principles (PBE) data for a relaxed LaPr6Sm2Y3 crystal, as listed in the Alexandria database.

The calculation puts the total magnetization at 0.000 μB per atom. As for the energy of formation: 0.1 eV per formula unit.

The structure belongs to space group C2/m (No. 12); the cell edges are 6.370, 11.038 and 12.083 Å and the angles 90.00°, 100.11° and 90.00°. The inequivalent atoms are La at (0.000, 0.000, 0.000), Pr at (0.248, 0.333, 0.747), Pr at (0.249, 0.000, 0.747), Sm at (0.000, 0.334, 0.000), Y at (0.000, 0.167, 0.500) and Y at (0.000, 0.500, 0.500).

=====

Record 7
First-principles (PBE) data for a relaxed La3PrSm3Zn2 crystal, as listed in the Alexandria database.

The calculation puts the total magnetization at 0.000 μB per atom. As for the energy of formation: -0.1 eV per formula unit.

The structure belongs to space group P-62m (No. 189); the cell edges are 9.2659, 9.2659 and 3.7197 Å and the angles 90.00°, 90.00° and 120.00°. The inequivalent atoms are La at (0.0000, 0.3094, 0.0000), Pr at (0.0000, 0.0000, 0.5000), Sm at (0.0000, 0.6156, 0.5000) and Zn at (0.3333, 0.6667, 0.0000).

=====

Record 8
First-principles (PBE) data for a relaxed LaPrSmZn crystal, as listed in the Alexandria database.

The calculation puts the total magnetization at 0.000 μB per atom. As for the energy of formation: 0.2 eV per formula unit. For the energy above the most stable polymorph in this dataset, the calculation gives 190 meV/atom.

The structure belongs to space group F-43m (No. 216); the cell edges are 7.836, 7.836 and 7.836 Å and the angles 90.00°, 90.00° and 90.00°. The inequivalent atoms are La at (0.000, 0.000, 0.000), Pr at (0.000, 0.000, 0.500), Sm at (0.250, 0.250, 0.250) and Zn at (0.250, 0.250, 0.750).

=====

Record 9
First-principles (PBE) data for a relaxed LaPrSmZn crystal, as listed in the Alexandria database.

The calculation puts the total magnetization at 0.000 μB per atom. As for the energy of formation: -0.6 eV per formula unit. For the energy above the most stable polymorph in this dataset, the calculation gives 0 meV/atom.

The structure belongs to space group P4mm (No. 99); the cell edges are 3.705, 3.705 and 8.855 Å and the angles 90.00°, 90.00° and 90.00°. The inequivalent atoms are La at (0.000, 0.000, 0.000), Pr at (0.500, 0.500, 0.699), Sm at (0.500, 0.500, 0.292) and Zn at (0.000, 0.000, 0.487).

=====

Record 10
First-principles (PBE) data for a relaxed LaPrSmZr crystal, as listed in the Alexandria database.

The calculation puts the total magnetization at 0.044 μB per atom. As for the energy of formation: 0.9 eV per formula unit.

The structure belongs to space group F-43m (No. 216); the cell edges are 7.939, 7.939 and 7.939 Å and the angles 90.00°, 90.00° and 90.00°. The inequivalent atoms are La at (0.000, 0.000, 0.000), Pr at (0.000, 0.000, 0.500), Sm at (0.250, 0.250, 0.250) and Zr at (0.250, 0.250, 0.750).